First-principles (PBE) data for an optimized crystal structure of ErTm3Co, as listed in the Alexandria database.

Cell and atoms, written as POSCAR:
```
ErTm3Co
1.0
-5.5206 -3.9829 -2.5443
6.6398 -2.0455 -2.1312
1.8165 -0.1841 7.0302
Er Tm Co
2 6 2
Direct
0.5275 0.7817 0.2458 Er
0.5359 0.2817 0.7542 Er
0.0317 0.2724 0.7408 Tm
0.0317 0.7909 0.2593 Tm
0.5316 0.7724 0.7407 Tm
0.0268 0.2816 0.2452 Tm
0.5316 0.2909 0.2592 Tm
0.0364 0.7816 0.7548 Tm
0.5316 0.0317 0.9999 Co
0.0318 0.5317 0.0001 Co
```

Output
- space-group type = Imma, No. 74
- energy above the most stable polymorph in this dataset (kJ/mol of formula units) = 2
- energy relative to the elements (eV/atom) = -0.08
- total energy (eV per atom) = -5.10